1.
First-principles (PBE) data for a relaxed LiAl2Bi2 crystal, as listed in Alexandria via LeMat-Bulk.

CIF file:
```
data_LiAl2Bi2
_cell_length_a 8.031
_cell_length_b 8.031
_cell_length_c 3.960
_cell_angle_alpha 90.00
_cell_angle_beta 90.00
_cell_angle_gamma 90.00
_space_group_name_H-M_alt 'P 4/m b m'
_space_group_IT_number 127
_space_group_name_Hall '-P 4 2ab'
loop_
_atom_site_label
_atom_site_type_symbol
_atom_site_fract_x
_atom_site_fract_y
_atom_site_fract_z
_atom_site_occupancy
Li1 Li 0.000 0.000 0.000 1
Al1 Al 0.125 0.375 0.500 1
Bi1 Bi 0.169 0.669 0.000 1
```

## Properties
As for the uncorrected energy: -3.329 eV per atom. For the energy above the most stable polymorph in this dataset, the calculation gives 33 meV/atom.

2.
First-principles (PBE) data for a relaxed LiAlBi crystal, as listed in Alexandria via LeMat-Bulk.

CIF file:
```
data_LiAlBi
_cell_length_a 4.6863
_cell_length_b 4.6863
_cell_length_c 3.7449
_cell_angle_alpha 90.00
_cell_angle_beta 90.00
_cell_angle_gamma 120.00
_space_group_name_H-M_alt 'P 3 m 1'
_space_group_IT_number 156
_space_group_name_Hall 'P 3 -2"'
loop_
_atom_site_label
_atom_site_type_symbol
_atom_site_fract_x
_atom_site_fract_y
_atom_site_fract_z
_atom_site_occupancy
Li1 Li 0.0000 0.0000 0.0000 1
Al1 Al 0.3333 0.6667 0.2612 1
Bi1 Bi 0.6667 0.3333 0.5937 1
```

## Properties
As for the uncorrected energy: -3.164 eV per atom. For the energy above the most stable polymorph in this dataset, the calculation gives 48 meV/atom.

3.
First-principles (PBE) data for a relaxed Li2AlBi crystal, as listed in Alexandria via LeMat-Bulk.

CIF file:
```
data_Li2AlBi
_cell_length_a 4.278
_cell_length_b 4.278
_cell_length_c 19.660
_cell_angle_alpha 90.00
_cell_angle_beta 90.00
_cell_angle_gamma 90.00
_space_group_name_H-M_alt 'I -4 2 d'
_space_group_IT_number 122
_space_group_name_Hall 'I -4 2bw'
loop_
_atom_site_label
_atom_site_type_symbol
_atom_site_fract_x
_atom_site_fract_y
_atom_site_fract_z
_atom_site_occupancy
Li1 Li 0.239 0.250 0.125 1
Al1 Al 0.000 0.000 0.000 1
Bi1 Bi 0.000 0.000 0.500 1
```

## Properties
As for the uncorrected energy: -2.897 eV per atom.

4.
First-principles (PBE) data for a relaxed LiAlBi2 crystal, as listed in Alexandria via LeMat-Bulk.

CIF file:
```
data_LiAlBi2
_cell_length_a 3.889
_cell_length_b 3.889
_cell_length_c 6.650
_cell_angle_alpha 90.00
_cell_angle_beta 90.00
_cell_angle_gamma 90.00
_space_group_name_H-M_alt 'P 4/m m m'
_space_group_IT_number 123
_space_group_name_Hall '-P 4 2'
loop_
_atom_site_label
_atom_site_type_symbol
_atom_site_fract_x
_atom_site_fract_y
_atom_site_fract_z
_atom_site_occupancy
Li1 Li 0.000 0.000 0.000 1
Al1 Al 0.000 0.000 0.500 1
Bi1 Bi 0.500 0.500 0.257 1
```

## Properties
As for the uncorrected energy: -3.382 eV per atom.

5.
First-principles (PBE) data for a relaxed LiAlBi2 crystal, as listed in Alexandria via LeMat-Bulk.

CIF file:
```
data_LiAlBi2
_cell_length_a 3.8145
_cell_length_b 3.8145
_cell_length_c 24.7173
_cell_angle_alpha 90.00
_cell_angle_beta 90.00
_cell_angle_gamma 120.00
_space_group_name_H-M_alt 'R -3 m'
_space_group_IT_number 166
_space_group_name_Hall '-R 3 2"'
loop_
_atom_site_label
_atom_site_type_symbol
_atom_site_fract_x
_atom_site_fract_y
_atom_site_fract_z
_atom_site_occupancy
Li1 Li 0.0000 0.0000 0.0000 1
Al1 Al 0.0000 0.0000 0.5000 1
Bi1 Bi 0.0000 0.0000 0.2447 1
```

## Properties
As for the uncorrected energy: -3.397 eV per atom.

6.
First-principles (PBE) data for a relaxed LiAl2Bi crystal, as listed in Alexandria via LeMat-Bulk.

CIF file:
```
data_LiAl2Bi
_cell_length_a 4.107
_cell_length_b 4.107
_cell_length_c 4.907
_cell_angle_alpha 90.00
_cell_angle_beta 90.00
_cell_angle_gamma 90.00
_space_group_name_H-M_alt 'P 4/m m m'
_space_group_IT_number 123
_space_group_name_Hall '-P 4 2'
loop_
_atom_site_label
_atom_site_type_symbol
_atom_site_fract_x
_atom_site_fract_y
_atom_site_fract_z
_atom_site_occupancy
Li1 Li 0.000 0.000 0.000 1
Al1 Al 0.000 0.500 0.500 1
Bi1 Bi 0.500 0.500 0.000 1
```

## Properties
As for the uncorrected energy: -3.326 eV per atom.

7.
First-principles (PBE) data for a relaxed LiAl4Bi crystal, as listed in Alexandria via LeMat-Bulk.

CIF file:
```
data_LiAl4Bi
_cell_length_a 7.888
_cell_length_b 7.888
_cell_length_c 7.888
_cell_angle_alpha 90.00
_cell_angle_beta 90.00
_cell_angle_gamma 90.00
_space_group_name_H-M_alt 'F -4 3 m'
_space_group_IT_number 216
_space_group_name_Hall 'F -4 2 3'
loop_
_atom_site_label
_atom_site_type_symbol
_atom_site_fract_x
_atom_site_fract_y
_atom_site_fract_z
_atom_site_occupancy
Li1 Li 0.000 0.000 0.000 1
Al1 Al 0.126 0.126 0.626 1
Bi1 Bi 0.250 0.250 0.250 1
```

## Properties
As for the uncorrected energy: -3.370 eV per atom.

8.
First-principles (PBE) data for a relaxed LiAlBi2 crystal, as listed in Alexandria via LeMat-Bulk.

CIF file:
```
data_LiAlBi2
_cell_length_a 6.926
_cell_length_b 6.926
_cell_length_c 10.713
_cell_angle_alpha 90.00
_cell_angle_beta 90.00
_cell_angle_gamma 90.00
_space_group_name_H-M_alt 'I -4 2 d'
_space_group_IT_number 122
_space_group_name_Hall 'I -4 2bw'
loop_
_atom_site_label
_atom_site_type_symbol
_atom_site_fract_x
_atom_site_fract_y
_atom_site_fract_z
_atom_site_occupancy
Li1 Li 0.000 0.000 0.000 1
Al1 Al 0.000 0.000 0.500 1
Bi1 Bi 0.245 0.250 0.625 1
```

## Properties
As for the uncorrected energy: -3.192 eV per atom.

9.
First-principles (PBE) data for a relaxed LiAlBi3 crystal, as listed in Alexandria via LeMat-Bulk.

CIF file:
```
data_LiAlBi3
_cell_length_a 5.529
_cell_length_b 5.529
_cell_length_c 5.529
_cell_angle_alpha 90.00
_cell_angle_beta 90.00
_cell_angle_gamma 90.00
_space_group_name_H-M_alt 'P m -3 m'
_space_group_IT_number 221
_space_group_name_Hall '-P 4 2 3'
loop_
_atom_site_label
_atom_site_type_symbol
_atom_site_fract_x
_atom_site_fract_y
_atom_site_fract_z
_atom_site_occupancy
Li1 Li 0.000 0.000 0.000 1
Al1 Al 0.500 0.500 0.500 1
Bi1 Bi 0.000 0.500 0.500 1
```

## Properties
As for the uncorrected energy: -3.102 eV per atom. For the energy above the most stable polymorph in this dataset, the calculation gives 0 meV/atom.

10.
First-principles (PBE) data for a relaxed LiAl2Bi2 crystal, as listed in Alexandria via LeMat-Bulk.

CIF file:
```
data_LiAl2Bi2
_cell_length_a 7.935
_cell_length_b 7.935
_cell_length_c 3.947
_cell_angle_alpha 90.00
_cell_angle_beta 90.00
_cell_angle_gamma 90.00
_space_group_name_H-M_alt 'P 4/m b m'
_space_group_IT_number 127
_space_group_name_Hall '-P 4 2ab'
loop_
_atom_site_label
_atom_site_type_symbol
_atom_site_fract_x
_atom_site_fract_y
_atom_site_fract_z
_atom_site_occupancy
Li1 Li 0.000 0.000 0.000 1
Al1 Al 0.122 0.378 0.000 1
Bi1 Bi 0.175 0.675 0.500 1
```

## Properties
As for the uncorrected energy: -3.354 eV per atom. For the energy above the most stable polymorph in this dataset, the calculation gives 8 meV/atom.

11.
First-principles (PBE) data for a relaxed LiAl2Bi2 crystal, as listed in Alexandria via LeMat-Bulk.

CIF file:
```
data_LiAl2Bi2
_cell_length_a 4.337
_cell_length_b 4.337
_cell_length_c 14.842
_cell_angle_alpha 90.00
_cell_angle_beta 90.00
_cell_angle_gamma 90.00
_space_group_name_H-M_alt 'I 4/m m m'
_space_group_IT_number 139
_space_group_name_Hall '-I 4 2'
loop_
_atom_site_label
_atom_site_type_symbol
_atom_site_fract_x
_atom_site_fract_y
_atom_site_fract_z
_atom_site_occupancy
Li1 Li 0.000 0.000 0.000 1
Al1 Al 0.000 0.500 0.250 1
Bi1 Bi 0.000 0.000 0.382 1
```

## Properties
As for the uncorrected energy: -3.362 eV per atom. For the energy above the most stable polymorph in this dataset, the calculation gives 0 meV/atom.

12.
First-principles (PBE) data for a relaxed Li2AlBi2 crystal, as listed in Alexandria via LeMat-Bulk.

CIF file:
```
data_Li2AlBi2
_cell_length_a 8.581
_cell_length_b 8.581
_cell_length_c 3.194
_cell_angle_alpha 90.00
_cell_angle_beta 90.00
_cell_angle_gamma 90.00
_space_group_name_H-M_alt 'P 4/m b m'
_space_group_IT_number 127
_space_group_name_Hall '-P 4 2ab'
loop_
_atom_site_label
_atom_site_type_symbol
_atom_site_fract_x
_atom_site_fract_y
_atom_site_fract_z
_atom_site_occupancy
Li1 Li 0.122 0.378 0.000 1
Al1 Al 0.000 0.000 0.500 1
Bi1 Bi 0.175 0.675 0.500 1
```

## Properties
As for the uncorrected energy: -3.197 eV per atom. For the energy above the most stable polymorph in this dataset, the calculation gives 0 meV/atom.

13.
First-principles (PBE) data for a relaxed LiAlBi crystal, as listed in Alexandria via LeMat-Bulk.

CIF file:
```
data_LiAlBi
_cell_length_a 3.953
_cell_length_b 3.953
_cell_length_c 8.915
_cell_angle_alpha 90.00
_cell_angle_beta 90.00
_cell_angle_gamma 90.00
_space_group_name_H-M_alt 'I 4 m m'
_space_group_IT_number 107
_space_group_name_Hall 'I 4 -2'
loop_
_atom_site_label
_atom_site_type_symbol
_atom_site_fract_x
_atom_site_fract_y
_atom_site_fract_z
_atom_site_occupancy
Li1 Li 0.000 0.000 0.000 1
Al1 Al 0.000 0.000 0.683 1
Bi1 Bi 0.000 0.000 0.331 1
```

## Properties
As for the uncorrected energy: -3.200 eV per atom. For the energy above the most stable polymorph in this dataset, the calculation gives 12 meV/atom.

Number 1: DFT formation energy 104 meV/atom. Number 2: DFT formation energy 15 meV/atom. Number 3: DFT formation energy -34 meV/atom. Number 4: DFT formation energy -27 meV/atom. Number 5: DFT formation energy -42 meV/atom. Number 6: DFT formation energy -6 meV/atom. Number 7: DFT formation energy 91 meV/atom. Number 8: DFT formation energy 163 meV/atom. Number 9: DFT formation energy 358 meV/atom. Number 10: DFT formation energy 78 meV/atom. Number 11: DFT formation energy 70 meV/atom. Number 12: DFT formation energy -131 meV/atom. Number 13: DFT formation energy -21 meV/atom.